1:
Density functional theory data (PBE) for a relaxed ZnGa2Ag2 crystal.

Output
ρ = 7.241 g/cm³

abc: 3.875 3.875 12.847
angles: 90.00 90.00 90.00
Space group I4/mmm (No. 139)
Symmetry-distinct sites (fractional):
Zn 0.000 0.000 0.000 (multiplicity 2)
Ga 0.000 0.000 0.404 (multiplicity 4)
Ag 0.000 0.500 0.250 (multiplicity 4)

---

2:
Density functional theory data (PBE) for a relaxed ZnGa2Ag2 crystal.

Output
ρ = 7.731 g/cm³

abc: 4.302 13.888 6.048
angles: 90.00 90.00 90.00
Space group Cmc2_1 (No. 36)
Symmetry-distinct sites (fractional):
Zn 0.000 0.085 0.000 (multiplicity 4)
Ga 0.000 0.291 0.721 (multiplicity 4)
Ga 0.000 0.478 0.921 (multiplicity 4)
Ag 0.000 0.136 0.445 (multiplicity 4)
Ag 0.000 0.338 0.272 (multiplicity 4)

---

Which of them is the most stable? Correct choice: 2.

---

1:
Density functional theory data (PBE) for a relaxed Zn3Ga3Ag crystal.

Output
ρ = 6.793 g/cm³

abc: 7.6766 7.6766 14.7500
angles: 90.00 90.00 120.00
Space group R-3 (No. 148, hexagonal axes)
Symmetry-distinct sites (fractional):
Zn 0.0141 0.6971 0.1949 (multiplicity 18)
Ga 0.0353 0.2256 0.6391 (multiplicity 18)
Ag 0.0000 0.0000 0.1014 (multiplicity 6)

---

2:
Density functional theory data (PBE) for a relaxed Zn3Ga3Ag crystal.

Output
ρ = 7.169 g/cm³

abc: 7.4820 7.4820 4.9041
angles: 90.00 90.00 120.00
Space group P6_3/m (No. 176)
Symmetry-distinct sites (fractional):
Zn 0.0974 0.4860 0.2500 (multiplicity 6)
Ga 0.0498 0.2376 0.7500 (multiplicity 6)
Ag 0.3333 0.6667 0.7500 (multiplicity 2)

---

3:
Density functional theory data (PBE) for a relaxed Zn3Ga3Ag crystal.

Output
ρ = 4.817 g/cm³

abc: 7.073 7.073 7.073
angles: 90.00 90.00 90.00
Space group Pm-3n (No. 223)
Symmetry-distinct sites (fractional):
Zn 0.000 0.250 0.500 (multiplicity 6)
Ga 0.000 0.500 0.250 (multiplicity 6)
Ag 0.000 0.000 0.000 (multiplicity 2)

---

Which of them is the most stable? Correct choice: 2.

---

1:
Density functional theory data (PBE) for a relaxed Zn6GaAg3 crystal.

Output
ρ = 8.174 g/cm³

abc: 7.306 4.658 9.889
angles: 90.00 108.43 90.00
Space group P2_1/m (No. 11)
Symmetry-distinct sites (fractional):
Zn 0.003 0.250 0.173 (multiplicity 2)
Zn 0.006 0.250 0.674 (multiplicity 2)
Zn 0.194 0.750 0.128 (multiplicity 2)
Zn 0.203 0.250 0.463 (multiplicity 2)
Zn 0.394 0.250 0.262 (multiplicity 2)
Zn 0.398 0.750 0.932 (multiplicity 2)
Ga 0.393 0.750 0.426 (multiplicity 2)
Ag 0.192 0.750 0.627 (multiplicity 2)
Ag 0.196 0.250 0.969 (multiplicity 2)
Ag 0.411 0.250 0.770 (multiplicity 2)

---

2:
Density functional theory data (PBE) for a relaxed Zn6GaAg3 crystal.

Output
ρ = 7.757 g/cm³

abc: 9.3654 9.3654 13.2863
angles: 90.00 90.00 120.00
Space group R-3 (No. 148, hexagonal axes)
Symmetry-distinct sites (fractional):
Zn 0.0312 0.5639 0.0958 (multiplicity 18)
Zn 0.0576 0.1844 0.8223 (multiplicity 18)
Ga 0.0000 0.0000 0.0000 (multiplicity 3)
Ga 0.0000 0.0000 0.5000 (multiplicity 3)
Ag 0.0038 0.5511 0.3016 (multiplicity 18)

---

Which of them is the most stable? Correct choice: 1.

---

1:
Density functional theory data (PBE) for a relaxed Zn7GaAg3 crystal.

Output
ρ = 7.611 g/cm³

abc: 5.6099 5.6099 6.8139
angles: 90.00 90.00 120.00
Space group P3m1 (No. 156)
Symmetry-distinct sites (fractional):
Zn 0.0000 0.0000 0.0000 (multiplicity 1)
Zn 0.3392 0.1696 0.3319 (multiplicity 3)
Zn 0.5036 0.0071 0.9903 (multiplicity 3)
Ga 0.3333 0.6667 0.3274 (multiplicity 1)
Ag 0.1662 0.3325 0.6641 (multiplicity 3)

---

2:
Density functional theory data (PBE) for a relaxed Zn7GaAg3 crystal.

Output
ρ = 7.418 g/cm³

abc: 9.886 9.073 4.798
angles: 90.00 117.71 90.00
Space group C2/m (No. 12)
Symmetry-distinct sites (fractional):
Zn 0.000 0.000 0.000 (multiplicity 2)
Zn 0.182 0.266 0.674 (multiplicity 8)
Zn 0.217 0.500 0.107 (multiplicity 4)
Ga 0.000 0.000 0.500 (multiplicity 2)
Ag 0.000 0.294 0.000 (multiplicity 4)
Ag 0.000 0.500 0.500 (multiplicity 2)

---

Which of them is the most stable? Correct choice: 1.

---

1:
Density functional theory data (PBE) for a relaxed ZnGa6Ag3 crystal.

Output
ρ = 7.535 g/cm³

abc: 3.1064 3.1064 21.2900
angles: 90.00 90.00 120.00
Space group P-3m1 (No. 164)
Symmetry-distinct sites (fractional):
Zn 0.0000 0.0000 0.0000 (multiplicity 1)
Ga 0.3333 0.6667 0.3018 (multiplicity 2)
Ga 0.3333 0.6667 0.6005 (multiplicity 2)
Ga 0.3333 0.6667 0.9014 (multiplicity 2)
Ag 0.0000 0.0000 0.2010 (multiplicity 2)
Ag 0.0000 0.0000 0.5000 (multiplicity 1)

---

2:
Density functional theory data (PBE) for a relaxed ZnGa6Ag3 crystal.

Output
ρ = 6.735 g/cm³

abc: 9.037 13.492 6.531
angles: 90.00 90.00 90.00
Space group Cmc2_1 (No. 36)
Symmetry-distinct sites (fractional):
Zn 0.000 0.147 0.000 (multiplicity 4)
Ga 0.000 0.038 0.672 (multiplicity 4)
Ga 0.000 0.247 0.665 (multiplicity 4)
Ga 0.166 0.497 0.111 (multiplicity 8)
Ga 0.198 0.282 0.133 (multiplicity 8)
Ag 0.000 0.384 0.374 (multiplicity 4)
Ag 0.164 0.113 0.346 (multiplicity 8)

---

Which of them is the most stable? Correct choice: 1.

---

1:
Density functional theory data (PBE) for a relaxed Zn3GaAg crystal.

Output
ρ = 6.399 g/cm³

abc: 6.3658 6.3658 5.5280
angles: 90.00 90.00 120.00
Space group P6_3/mmc (No. 194)
Symmetry-distinct sites (fractional):
Zn 0.2012 0.4024 0.2500 (multiplicity 6)
Ga 0.3333 0.6667 0.7500 (multiplicity 2)
Ag 0.0000 0.0000 0.0000 (multiplicity 2)

---

2:
Density functional theory data (PBE) for a relaxed Zn3GaAg crystal.

Output
ρ = 7.581 g/cm³

abc: 4.675 5.818 6.446
angles: 90.00 110.93 90.00
Space group P2_1/m (No. 11)
Symmetry-distinct sites (fractional):
Zn 0.111 0.250 0.234 (multiplicity 2)
Zn 0.307 0.005 0.620 (multiplicity 4)
Ga 0.496 0.250 0.005 (multiplicity 2)
Ag 0.122 0.750 0.235 (multiplicity 2)

---

3:
Density functional theory data (PBE) for a relaxed Zn3GaAg crystal.

Output
ρ = 5.254 g/cm³

abc: 4.907 4.907 4.907
angles: 90.00 90.00 90.00
Space group Pm-3m (No. 221)
Symmetry-distinct sites (fractional):
Zn 0.000 0.000 0.500 (multiplicity 3)
Ga 0.500 0.500 0.500 (multiplicity 1)
Ag 0.000 0.000 0.000 (multiplicity 1)

---

4:
Density functional theory data (PBE) for a relaxed Zn3GaAg crystal.

Output
ρ = 5.760 g/cm³

abc: 4.759 4.759 4.759
angles: 90.00 90.00 90.00
Space group Pm-3m (No. 221)
Symmetry-distinct sites (fractional):
Zn 0.000 0.000 0.500 (multiplicity 3)
Ga 0.000 0.000 0.000 (multiplicity 1)
Ag 0.500 0.500 0.500 (multiplicity 1)

---

Which of them is the most stable? Correct choice: 2.

---

1:
Density functional theory data (PBE) for a relaxed Zn6GaAg crystal.

Output
ρ = 7.503 g/cm³

abc: 3.881 8.039 8.086
angles: 90.00 90.00 90.00
Space group Amm2 (No. 38)
Symmetry-distinct sites (fractional):
Zn 0.000 0.000 0.000 (multiplicity 2)
Zn 0.000 0.245 0.246 (multiplicity 4)
Zn 0.500 0.000 0.238 (multiplicity 2)
Zn 0.500 0.248 0.997 (multiplicity 4)
Ga 0.000 0.000 0.492 (multiplicity 2)
Ag 0.500 0.000 0.750 (multiplicity 2)

---

2:
Density functional theory data (PBE) for a relaxed Zn6GaAg crystal.

Output
ρ = 7.408 g/cm³

abc: 5.030 5.060 5.113
angles: 96.30 97.27 94.29
Space group P-1 (No. 2)
Symmetry-distinct sites (fractional):
Zn 0.024 0.249 0.467 (multiplicity 2)
Zn 0.249 0.040 0.967 (multiplicity 2)
Zn 0.458 0.532 0.747 (multiplicity 2)
Ga 0.000 0.500 0.000 (multiplicity 1)
Ag 0.500 0.000 0.500 (multiplicity 1)

---

Which of them is the most stable? Correct choice: 2.

---

1:
Density functional theory data (PBE) for a relaxed Zn5GaAg crystal.

Output
ρ = 7.007 g/cm³

abc: 11.541 5.010 9.529
angles: 90.00 119.75 90.00
Space group C2/c (No. 15)
Symmetry-distinct sites (fractional):
Zn 0.000 0.241 0.250 (multiplicity 4)
Zn 0.151 0.492 0.126 (multiplicity 8)
Zn 0.243 0.004 0.556 (multiplicity 8)
Ga 0.000 0.000 0.000 (multiplicity 4)
Ag 0.000 0.264 0.750 (multiplicity 4)

---

2:
Density functional theory data (PBE) for a relaxed Zn5GaAg crystal.

Output
ρ = 7.271 g/cm³

abc: 6.173 7.286 10.636
angles: 90.00 105.48 90.00
Space group C2/c (No. 15)
Symmetry-distinct sites (fractional):
Zn 0.000 0.115 0.250 (multiplicity 4)
Zn 0.116 0.353 0.544 (multiplicity 8)
Zn 0.210 0.202 0.855 (multiplicity 8)
Ga 0.000 0.000 0.000 (multiplicity 4)
Ag 0.000 0.486 0.250 (multiplicity 4)

---

Which of them is the most stable? Correct choice: 2.